# 1
Compound: TlRuPt
Source: Alexandria via LeMat-Bulk
Functional: GGA-PBE
Structure: relaxed

```
3
Lattice="-1.476 1.999 4.442 1.476 -1.999 4.442 1.476 1.999 -4.442" Properties=species:S:1:pos:R:3 pbc="T T T"
Tl 0.000 0.000 0.000
Ru 0.000 0.000 5.974
Pt 0.000 0.000 2.887
```

Its density of states at the Fermi level is 1.189 states/eV per atom. The energy above the lowest structure with this stoichiometry is 87 meV per atom. The calculation puts the calculated formation energy at 466 meV per atom.


# 2
Compound: Rb2BeNi2
Source: Alexandria via LeMat-Bulk
Functional: GGA-PBE
Structure: relaxed

```
5
Lattice="-3.280 3.280 3.289 3.280 -3.280 3.289 3.280 3.280 -3.289" Properties=species:S:1:pos:R:3 pbc="T T T"
Rb 3.280 0.000 1.645
Rb 0.000 3.280 1.645
Be 0.000 0.000 0.000
Ni 0.000 0.000 2.078
Ni 0.000 0.000 4.501
```

Its density of states at the Fermi level is 0.698 states/eV per atom. The energy above the lowest structure with this stoichiometry is 149 meV per atom. The calculation puts the calculated formation energy at 871 meV per atom.


# 3
Compound: K2Ba6Pt
Source: Alexandria via LeMat-Bulk
Functional: GGA-PBE
Structure: relaxed

```
9
Lattice="7.937 -4.585 0.000 7.937 4.585 0.000 -5.295 0.000 7.486" Properties=species:S:1:pos:R:3 pbc="T T T"
K 2.647 0.000 1.870
K 7.933 0.000 5.616
Ba -0.084 0.000 5.550
Ba 6.569 2.367 1.931
Ba 4.011 2.367 5.555
Ba 6.569 -2.367 1.931
Ba 4.011 -2.367 5.555
Ba 10.664 0.000 1.936
Pt -2.647 0.000 3.743
```

Its density of states at the Fermi level is 0.842 states/eV per atom. The calculation puts the calculated formation energy at -200 meV per atom.


# 4
Compound: ZrBe2Tc2
Source: Alexandria via LeMat-Bulk
Functional: GGA-PBE
Structure: relaxed

```
5
Lattice="-2.093 2.093 4.092 2.093 -2.093 4.092 2.093 2.093 -4.092" Properties=species:S:1:pos:R:3 pbc="T T T"
Zr 0.000 0.000 0.000
Be 2.093 0.000 2.046
Be 0.000 2.093 2.046
Tc 0.000 0.000 2.889
Tc 0.000 0.000 5.295
```

Its density of states at the Fermi level is 0.462 states/eV per atom. The energy above the lowest structure with this stoichiometry is 318 meV per atom. The calculation puts the calculated formation energy at 7 meV per atom.


# 5
Compound: ZrAl2Ga3
Source: Alexandria via LeMat-Bulk
Functional: GGA-PBE
Structure: relaxed

```
6
Lattice="2.052 -6.509 0.000 2.052 6.509 0.000 0.000 0.000 3.907" Properties=species:S:1:pos:R:3 pbc="T T T"
Zr 0.000 0.000 0.000
Al 2.052 2.166 0.000
Al 2.052 -2.166 0.000
Ga 2.052 4.258 1.954
Ga 2.052 0.000 1.954
Ga 2.052 -4.258 1.954
```

Its density of states at the Fermi level is 0.416 states/eV per atom. The energy above the lowest structure with this stoichiometry is 0 meV per atom. The calculation puts the calculated formation energy at -245 meV per atom.


# 6
Compound: CoOs
Source: Alexandria via LeMat-Bulk
Functional: GGA-PBE
Structure: relaxed

```
4
Lattice="3.936 0.000 0.000 -1.968 3.409 0.000 0.000 0.000 5.022" Properties=species:S:1:pos:R:3 pbc="T T T"
Co 0.000 2.273 0.000
Co 1.968 1.136 2.511
Os 0.000 2.273 2.241
Os 1.968 1.136 4.752
```

Its density of states at the Fermi level is 1.554 states/eV per atom. The calculation puts the calculated formation energy at 1365 meV per atom.


# 7
Compound: Sr2CdInHg6
Source: Alexandria via LeMat-Bulk
Functional: GGA-PBE
Structure: relaxed

```
10
Lattice="5.904 0.000 0.000 -2.603 6.972 0.000 -2.702 -1.080 6.985" Properties=species:S:1:pos:R:3 pbc="T T T"
Sr 0.148 1.416 1.800
Sr 0.451 4.476 5.185
Cd 2.952 0.000 0.000
In -2.653 2.946 3.492
Hg -1.269 4.678 1.143
Hg -2.479 5.875 4.006
Hg -1.084 1.460 5.699
Hg 1.682 4.432 1.285
Hg 3.077 0.017 2.978
Hg 1.867 1.214 5.841
```

Its density of states at the Fermi level is 0.559 states/eV per atom. The calculation puts the calculated formation energy at -248 meV per atom.


# 8
Compound: Ta5NbFe
Source: Alexandria via LeMat-Bulk
Functional: GGA-PBE
Structure: relaxed

```
7
Lattice="4.494 0.000 0.000 0.000 4.494 0.000 0.000 0.000 6.331" Properties=species:S:1:pos:R:3 pbc="T T T"
Ta 0.000 0.000 0.000
Ta 0.000 2.247 1.717
Ta 0.000 2.247 4.614
Ta 2.247 0.000 1.717
Ta 2.247 0.000 4.614
Nb 2.247 2.247 0.000
Fe 2.247 2.247 3.165
```

Its density of states at the Fermi level is 0.902 states/eV per atom. The calculation puts the calculated formation energy at 228 meV per atom.


# 9
Compound: CeURh2
Source: Alexandria via LeMat-Bulk
Functional: GGA-PBE
Structure: relaxed

```
4
Lattice="1.976 1.141 6.600 -1.976 1.141 6.600 0.000 -2.282 6.600" Properties=species:S:1:pos:R:3 pbc="T T T"
Ce 0.000 0.000 0.000
U 0.000 0.000 9.901
Rh 0.000 0.000 4.830
Rh 0.000 0.000 14.972
```

Its density of states at the Fermi level is 2.521 states/eV per atom. The calculation puts the calculated formation energy at -483 meV per atom.


# 10
Compound: Ba2CrSn
Source: Alexandria via LeMat-Bulk
Functional: GGA-PBE
Structure: relaxed

```
8
Lattice="-6.134 6.134 2.591 6.134 -6.134 2.591 6.134 6.134 -2.591" Properties=species:S:1:pos:R:3 pbc="T T T"
Ba 1.012 3.067 0.648
Ba -3.067 5.123 1.944
Ba -1.012 9.202 0.648
Ba 3.067 7.146 1.944
Cr 0.000 0.000 0.000
Cr 0.000 6.134 1.296
Sn 6.134 0.000 1.296
Sn 0.000 0.000 2.591
```

Its density of states at the Fermi level is 0.580 states/eV per atom. The energy above the lowest structure with this stoichiometry is 0 meV per atom. The calculation puts the calculated formation energy at 257 meV per atom.


# 11
Compound: AlZnP2
Source: Alexandria via LeMat-Bulk
Functional: GGA-PBE
Structure: relaxed

```
4
Lattice="0.000 3.155 3.155 3.155 0.000 3.155 3.155 3.155 0.000" Properties=species:S:1:pos:R:3 pbc="T T T"
Al 0.000 0.000 0.000
Zn 1.578 1.578 1.578
P 3.155 3.155 3.155
P 4.733 4.733 4.733
```

Its density of states at the Fermi level is 0.811 states/eV per atom. The energy above the lowest structure with this stoichiometry is 643 meV per atom. The calculation puts the calculated formation energy at 419 meV per atom.


# 12
Compound: NdInCuAu
Source: Alexandria via LeMat-Bulk
Functional: GGA-PBE
Structure: relaxed

```
4
Lattice="0.000 3.496 3.496 3.496 0.000 3.496 3.496 3.496 0.000" Properties=species:S:1:pos:R:3 pbc="T T T"
Nd 0.000 0.000 0.000
In 3.496 3.496 3.496
Cu 5.244 5.244 5.244
Au 1.748 1.748 1.748
```

Its density of states at the Fermi level is 0.653 states/eV per atom. The calculation puts the calculated formation energy at -475 meV per atom.


# 13
Compound: Cs2HoUO6
Source: Alexandria via LeMat-Bulk
Functional: GGA-PBE
Structure: relaxed

```
10
Lattice="0.000 4.428 4.428 4.428 0.000 4.428 4.428 4.428 0.000" Properties=species:S:1:pos:R:3 pbc="T T T"
Cs 2.214 2.214 2.214
Cs 6.642 6.642 6.642
Ho 0.000 0.000 0.000
U 4.428 4.428 4.428
O 4.428 4.428 2.322
O 4.428 2.322 4.428
O 6.534 4.428 4.428
O 2.322 4.428 4.428
O 4.428 6.534 4.428
O 4.428 4.428 6.534
```

Its density of states at the Fermi level is 0.897 states/eV per atom. The value obtained for the formation energy without anion corrections is -252 kJ/mol of atoms.


# 14
Compound: Dy2Er2Al3
Source: Alexandria via LeMat-Bulk
Functional: GGA-PBE
Structure: relaxed

```
7
Lattice="1.765 -14.021 0.000 1.765 14.021 0.000 0.000 0.000 3.532" Properties=species:S:1:pos:R:3 pbc="T T T"
Dy 1.765 8.598 0.000
Dy 1.765 -8.598 0.000
Er 1.765 12.227 0.000
Er 1.765 -12.227 0.000
Al 1.765 3.614 1.766
Al 1.765 0.000 1.766
Al 1.765 -3.614 1.766
```

Its density of states at the Fermi level is 0.561 states/eV per atom. The calculation puts the calculated formation energy at -284 meV per atom.


# 15
Compound: Fe3AgPd6
Source: Alexandria via LeMat-Bulk
Functional: GGA-PBE
Structure: relaxed

```
20
Lattice="8.605 0.000 0.000 0.000 3.910 0.000 -0.219 0.000 8.785" Properties=species:S:1:pos:R:3 pbc="T T T"
Fe 0.365 0.977 3.475
Fe 1.240 2.932 1.728
Fe 1.928 0.977 8.714
Fe 6.458 2.932 0.071
Fe 7.146 0.977 7.057
Fe 8.021 2.932 5.310
Ag 3.727 0.977 5.277
Ag 4.659 2.932 3.508
Pd 0.156 2.932 7.914
Pd 0.982 0.977 6.118
Pd 1.867 2.932 4.327
Pd 2.799 0.977 2.519
Pd 2.772 2.932 7.054
Pd 3.765 2.932 0.834
Pd 4.621 0.977 7.951
Pd 5.613 0.977 1.731
Pd 5.587 2.932 6.266
Pd 6.519 0.977 4.458
Pd 7.404 2.932 2.667
Pd 8.230 0.977 0.871
```

Its density of states at the Fermi level is 0.887 states/eV per atom. The calculation puts the calculated formation energy at -69 meV per atom.


# 16
Compound: CsK6Rb5
Source: Alexandria via LeMat-Bulk
Functional: GGA-PBE
Structure: relaxed

```
12
Lattice="4.241 -7.332 0.000 4.241 7.332 0.000 -2.759 0.000 15.985" Properties=species:S:1:pos:R:3 pbc="T T T"
Cs 0.000 0.000 0.000
K 1.446 2.481 4.035
K 0.105 0.000 11.947
K 1.446 -2.481 4.035
K 4.278 2.481 11.950
K 5.618 0.000 4.038
K 4.278 -2.481 11.950
Rb 2.862 4.895 7.992
Rb 4.241 2.442 0.000
Rb 2.862 0.000 7.992
Rb 4.241 -2.442 0.000
Rb 2.862 -4.895 7.992
```

Its density of states at the Fermi level is 0.821 states/eV per atom. The energy above the lowest structure with this stoichiometry is 3 meV per atom. The calculation puts the calculated formation energy at 9 meV per atom.


# 17
Compound: PmMgH
Source: Alexandria via LeMat-Bulk
Functional: GGA-PBE
Structure: relaxed

```
3
Lattice="-1.642 1.642 6.098 1.642 -1.642 6.098 1.642 1.642 -6.098" Properties=species:S:1:pos:R:3 pbc="T T T"
Pm 0.000 0.000 0.000
Mg 0.000 0.000 3.481
H 0.000 0.000 6.389
```

Its density of states at the Fermi level is 1.004 states/eV per atom. The energy above the lowest structure with this stoichiometry is 258 meV per atom.


# 18
Compound: Tb12CoPb6
Source: Alexandria via LeMat-Bulk
Functional: GGA-PBE
Structure: relaxed

```
19
Lattice="6.046 3.491 4.695 -6.046 3.491 4.695 0.000 -6.981 4.695" Properties=species:S:1:pos:R:3 pbc="T T T"
Tb -5.302 -1.534 7.798
Tb -1.322 -5.359 6.287
Tb -1.302 -1.667 5.498
Tb -3.980 3.825 6.287
Tb -0.792 1.961 5.498
Tb -2.095 0.294 8.586
Tb 2.095 -0.294 5.498
Tb 0.792 -1.961 8.586
Tb 3.980 -3.825 7.798
Tb 1.302 1.667 8.586
Tb 1.322 5.359 7.798
Tb 5.302 1.534 6.287
Co 0.000 0.000 0.000
Pb -3.680 0.498 5.825
Pb -2.271 -2.938 8.259
Pb 1.409 -3.436 5.825
Pb -1.409 3.436 8.260
Pb 2.271 2.938 5.825
Pb 3.680 -0.498 8.260
```

Its density of states at the Fermi level is 0.895 states/eV per atom. The calculation puts the calculated formation energy at -307 meV per atom.


# 19
Compound: PmHoScTl
Source: Alexandria via LeMat-Bulk
Functional: GGA-PBE
Structure: relaxed

```
4
Lattice="4.736 0.000 0.000 0.000 4.786 0.000 0.000 0.000 4.817" Properties=species:S:1:pos:R:3 pbc="T T T"
Pm 0.000 0.000 0.000
Ho 2.368 2.393 0.000
Sc 2.368 0.000 2.408
Tl 0.000 2.393 2.408
```

Its density of states at the Fermi level is 1.492 states/eV per atom. The energy above the lowest structure with this stoichiometry is 0 meV per atom. The calculation puts the calculated formation energy at -174 meV per atom.


# 20
Compound: LuAgHg2
Source: Alexandria via LeMat-Bulk
Functional: GGA-PBE
Structure: relaxed

```
4
Lattice="0.000 3.507 3.507 3.507 0.000 3.507 3.507 3.507 0.000" Properties=species:S:1:pos:R:3 pbc="T T T"
Lu 0.000 0.000 0.000
Ag 3.507 3.507 3.507
Hg 1.754 1.754 1.754
Hg 5.261 5.261 5.261
```

Its density of states at the Fermi level is 0.379 states/eV per atom. The calculation puts the calculated formation energy at -287 meV per atom.